Entry 1:
First-principles (PBE-GGA) data for a relaxed structure of Ho7Te2Rh2, as listed in Alexandria via LeMat-Bulk.

POSCAR file:
```
Ho7Te2Rh2
1.0
-1.954 7.880 4.735
1.954 -7.880 4.735
1.954 7.880 -4.735
Ho Te Rh
7 2 2
Direct
0.000 0.000 0.000
0.057 0.374 0.683
0.087 0.734 0.352
0.382 0.734 0.648
0.451 0.582 0.869
0.692 0.374 0.317
0.714 0.582 0.131
0.336 0.336 0.000
0.735 0.235 0.500
0.308 0.069 0.239
0.831 0.069 0.761
```

Summary:
As for the total energy: -62.716 eV for the cell shown. For the energy above the most stable polymorph in this dataset, the calculation gives 0 meV/atom. The calculation puts the density at 9.20 g cm⁻³. The calculation puts the formation energy without anion corrections at -0.881 eV/atom.

---

Entry 2:
First-principles (PBE-GGA) data for a relaxed structure of HoTeRh, as listed in Alexandria via LeMat-Bulk.

POSCAR file:
```
HoTeRh
1.0
4.468 0.000 0.000
-2.234 3.869 0.000
0.000 0.000 3.845
Ho Te Rh
1 1 1
Direct
0.000 0.000 0.000
0.333 0.667 0.513
0.667 0.333 0.448
```

Summary:
As for the total energy: -17.984 eV for the cell shown. The calculation puts the density at 9.88 g cm⁻³. The calculation puts the formation energy without anion corrections at -0.971 eV/atom.

---

Entry 3:
First-principles (PBE-GGA) data for a relaxed structure of Ho3Te2Rh, as listed in Alexandria via LeMat-Bulk.

POSCAR file:
```
Ho3Te2Rh
1.0
-2.112 2.112 9.188
2.112 -2.112 9.188
2.112 2.112 -9.188
Ho Te Rh
3 2 1
Direct
0.000 0.000 0.000
0.360 0.360 0.000
0.640 0.640 0.000
0.178 0.178 0.000
0.822 0.822 0.000
0.500 0.500 0.000
```

Summary:
As for the total energy: -33.872 eV for the cell shown. For the energy above the most stable polymorph in this dataset, the calculation gives 0 meV/atom. The calculation puts the density at 8.64 g cm⁻³. The calculation puts the formation energy without anion corrections at -1.084 eV/atom.

---

Entry 4:
First-principles (PBE-GGA) data for a relaxed structure of Ho7Te2Rh2, as listed in Alexandria via LeMat-Bulk.

POSCAR file:
```
Ho7Te2Rh2
1.0
4.198 -5.698 0.000
4.198 5.698 0.000
-1.840 0.000 7.496
Ho Te Rh
7 2 2
Direct
0.000 0.000 0.000
0.073 0.537 0.796
0.432 0.432 0.201
0.463 0.927 0.204
0.537 0.073 0.796
0.568 0.568 0.799
0.927 0.463 0.204
0.299 0.701 0.500
0.701 0.299 0.500
0.265 0.265 0.862
0.735 0.735 0.138
```

Summary:
As for the total energy: -58.346 eV for the cell shown. For the energy above the most stable polymorph in this dataset, the calculation gives 397 meV/atom. The calculation puts the density at 7.48 g cm⁻³. The calculation puts the formation energy without anion corrections at -0.483 eV/atom.

---

Entry 5:
First-principles (PBE-GGA) data for a relaxed structure of Ho6TeRh3, as listed in Alexandria via LeMat-Bulk.

POSCAR file:
```
Ho6TeRh3
1.0
11.654 0.000 0.000
0.000 4.052 0.000
-3.575 0.000 11.178
Ho Te Rh
12 2 6
Direct
0.036 0.250 0.404
0.118 0.250 0.974
0.191 0.750 0.267
0.250 0.750 0.782
0.353 0.250 0.558
0.433 0.750 0.100
0.567 0.250 0.900
0.647 0.750 0.442
0.750 0.250 0.218
0.809 0.250 0.733
0.882 0.750 0.026
0.964 0.750 0.596
0.430 0.250 0.322
0.570 0.750 0.678
0.019 0.250 0.169
0.184 0.750 0.517
0.344 0.250 0.935
0.656 0.750 0.065
0.816 0.250 0.483
0.981 0.750 0.831
```

Summary:
As for the total energy: -121.395 eV for the cell shown. The calculation puts the density at 8.97 g cm⁻³. The calculation puts the formation energy without anion corrections at -0.803 eV/atom.

---

Entry 6:
First-principles (PBE-GGA) data for a relaxed structure of Ho3Te2Rh, as listed in Alexandria via LeMat-Bulk.

POSCAR file:
```
Ho3Te2Rh
1.0
2.999 -7.298 0.000
2.999 7.298 0.000
0.000 0.000 4.129
Ho Te Rh
3 2 1
Direct
0.000 0.000 0.000
0.377 0.623 0.500
0.623 0.377 0.500
0.160 0.840 0.500
0.840 0.160 0.500
0.500 0.500 0.000
```

Summary:
As for the total energy: -33.306 eV for the cell shown. For the energy above the most stable polymorph in this dataset, the calculation gives 94 meV/atom. The calculation puts the density at 7.83 g cm⁻³. The calculation puts the formation energy without anion corrections at -0.990 eV/atom.

---

Entry 7:
First-principles (PBE-GGA) data for a relaxed structure of Ho5Te4Rh, as listed in Alexandria via LeMat-Bulk.

POSCAR file:
```
Ho5Te4Rh
1.0
-4.822 4.822 3.054
4.822 -4.822 3.054
4.822 4.822 -3.054
Ho Te Rh
5 4 1
Direct
0.000 0.000 0.000
0.239 0.406 0.645
0.406 0.761 0.167
0.594 0.239 0.833
0.761 0.594 0.355
0.087 0.690 0.777
0.310 0.087 0.397
0.690 0.913 0.603
0.913 0.310 0.223
0.500 0.500 0.000
```

Summary:
As for the total energy: -54.587 eV for the cell shown. For the energy above the most stable polymorph in this dataset, the calculation gives 0 meV/atom. The calculation puts the density at 8.41 g cm⁻³. The calculation puts the formation energy without anion corrections at -1.178 eV/atom.

---

Entry 8:
First-principles (PBE-GGA) data for a relaxed structure of Ho8Te2Rh3, as listed in Alexandria via LeMat-Bulk.

POSCAR file:
```
Ho8Te2Rh3
1.0
8.941 0.000 0.000
0.000 4.811 0.000
-3.716 0.000 8.140
Ho Te Rh
8 2 3
Direct
0.107 0.000 0.393
0.143 0.500 0.863
0.362 0.500 0.643
0.388 0.000 0.113
0.612 0.000 0.887
0.638 0.500 0.357
0.857 0.500 0.137
0.893 0.000 0.607
0.245 0.500 0.256
0.755 0.500 0.744
0.253 0.000 0.754
0.500 0.500 0.000
0.747 0.000 0.246
```

Summary:
As for the total energy: -74.363 eV for the cell shown. The calculation puts the density at 8.93 g cm⁻³. The calculation puts the formation energy without anion corrections at -0.723 eV/atom.

---

Entry 9:
First-principles (PBE-GGA) data for a relaxed structure of Ho5Te2Rh2, as listed in Alexandria via LeMat-Bulk.

POSCAR file:
```
Ho5Te2Rh2
1.0
7.779 -3.884 0.000
7.779 3.884 0.000
0.000 0.000 7.724
Ho Te Rh
10 4 4
Direct
0.000 0.000 0.000
0.043 0.724 0.658
0.224 0.543 0.158
0.276 0.957 0.658
0.457 0.776 0.158
0.500 0.500 0.500
0.543 0.224 0.842
0.724 0.043 0.342
0.776 0.457 0.842
0.957 0.276 0.342
0.210 0.210 0.000
0.290 0.290 0.500
0.710 0.710 0.500
0.790 0.790 0.000
0.139 0.861 0.362
0.361 0.639 0.862
0.639 0.361 0.138
0.861 0.139 0.638
```

Summary:
As for the total energy: -106.224 eV for the cell shown. The calculation puts the density at 9.15 g cm⁻³. The calculation puts the formation energy without anion corrections at -1.026 eV/atom.

---

Entry 10:
First-principles (PBE-GGA) data for a relaxed structure of HoTeRh, as listed in Alexandria via LeMat-Bulk.

POSCAR file:
```
HoTeRh
1.0
-1.935 1.935 4.546
1.935 -1.935 4.546
1.935 1.935 -4.546
Ho Te Rh
1 1 1
Direct
0.000 0.000 0.000
0.331 0.331 0.000
0.627 0.627 0.000
```

Summary:
As for the total energy: -17.126 eV for the cell shown. The calculation puts the density at 9.64 g cm⁻³. The calculation puts the formation energy without anion corrections at -0.685 eV/atom.

---

Entry 11:
First-principles (PBE-GGA) data for a relaxed structure of HoThTeRh, as listed in Alexandria via LeMat-Bulk.

POSCAR file:
```
HoThTeRh
1.0
2.074 1.197 7.512
-2.074 1.197 7.512
0.000 -2.394 7.512
Ho Th Te Rh
1 1 1 1
Direct
0.000 0.000 0.000
0.802 0.802 0.802
0.238 0.238 0.238
0.403 0.403 0.403
```

Summary:
As for the total energy: -26.728 eV for the cell shown. The calculation puts the density at 9.31 g cm⁻³. The calculation puts the formation energy without anion corrections at -1.059 eV/atom.

---

Entry 12:
First-principles (PBE-GGA) data for a relaxed structure of HoTh2Rh9, as listed in Alexandria via LeMat-Bulk.

POSCAR file:
```
HoTh2Rh9
1.0
2.641 1.525 8.936
-2.641 1.525 8.936
0.000 -3.050 8.936
Ho Th Rh
1 2 9
Direct
0.000 0.000 0.000
0.137 0.137 0.137
0.863 0.863 0.863
0.080 0.583 0.583
0.333 0.333 0.333
0.417 0.417 0.920
0.417 0.920 0.417
0.500 0.500 0.500
0.583 0.080 0.583
0.583 0.583 0.080
0.667 0.667 0.667
0.920 0.417 0.417
```

Summary:
As for the total energy: -92.826 eV for the cell shown. For the energy of formation from the pure elements, the calculation gives -604 meV per atom. The calculation puts the density at 11.96 g cm⁻³.